# 1
Computed, not measured: an optimized crystal structure of Pt at the PBEsol level of DFT. Values from VASP.

Results
E_tot   -6.964 eV per atom
Energy above the lowest structure with this stoichiometry   0.000 eV/atom
Magnetization   0.001 μB/atom
Space-group type   Fm-3m

Structure (Quantum ESPRESSO input):
```
&SYSTEM
  ibrav = 0, nat = 1, ntyp = 1
/
ATOMIC_SPECIES
Pt 195.08 Pt.upf
CELL_PARAMETERS angstrom
0.0000 1.9569 1.9569
1.9569 0.0000 1.9569
1.9569 1.9569 0.0000
ATOMIC_POSITIONS angstrom
Pt 0.0000 0.0000 0.0000
```

***

# 2
Computed, not measured: an optimized crystal structure of Hf2ZrGa2 at the PBEsol level of DFT. Values from VASP.

Results
E_tot   -7.206 eV per atom
Energy above the lowest structure with this stoichiometry   0.657 eV/atom
Magnetization   0.000 μB/atom
Space-group type   I4/mmm

Structure (Quantum ESPRESSO input):
```
&SYSTEM
  ibrav = 0, nat = 5, ntyp = 3
/
ATOMIC_SPECIES
Hf 178.49 Hf.upf
Zr 91.22 Zr.upf
Ga 69.72 Ga.upf
CELL_PARAMETERS angstrom
-1.8838 1.8838 7.1870
1.8838 -1.8838 7.1870
1.8838 1.8838 -7.1870
ATOMIC_POSITIONS angstrom
Hf 0.0000 0.0000 1.4609
Hf 0.0000 0.0000 12.9132
Zr 0.0000 0.0000 7.1870
Ga 1.8838 0.0000 3.5935
Ga 0.0000 1.8838 3.5935
```

***

# 3
Computed, not measured: an optimized crystal structure of CaY2Tc at the PBEsol level of DFT. Values from VASP.

Results
E_tot   -6.720 eV per atom
Energy above the lowest structure with this stoichiometry   0.000 eV/atom
Magnetization   0.000 μB/atom
Space-group type   P4/mmm

Structure (Quantum ESPRESSO input):
```
&SYSTEM
  ibrav = 0, nat = 4, ntyp = 3
/
ATOMIC_SPECIES
Ca 40.08 Ca.upf
Y 88.91 Y.upf
Tc 98.00 Tc.upf
CELL_PARAMETERS angstrom
3.4523 0.0000 0.0000
0.0000 3.4523 0.0000
0.0000 0.0000 9.1219
ATOMIC_POSITIONS angstrom
Ca 0.0000 0.0000 0.0000
Y 1.7262 1.7262 2.9660
Y 1.7262 1.7262 6.1560
Tc 0.0000 0.0000 4.5610
```

***

# 4
Computed, not measured: an optimized crystal structure of La3Y at the PBEsol level of DFT. Values from VASP.

Results
E_tot   -5.677 eV per atom
Magnetization   0.000 μB/atom
Space-group type   P6_3/mmc

Structure (Quantum ESPRESSO input):
```
&SYSTEM
  ibrav = 0, nat = 8, ntyp = 2
/
ATOMIC_SPECIES
La 138.91 La.upf
Y 88.91 Y.upf
CELL_PARAMETERS angstrom
7.2855 0.0000 0.0000
-3.6427 6.3094 0.0000
0.0000 0.0000 5.8662
ATOMIC_POSITIONS angstrom
La 0.0000 2.1135 1.4666
La -1.8124 5.2527 1.4666
La 1.8303 1.0567 4.3997
La 1.8124 5.2527 1.4666
La 5.4552 1.0567 4.3997
La 3.6427 4.1959 4.3997
Y 0.0000 4.2063 4.3997
Y 3.6427 2.1031 1.4666
```

***

# 5
Computed, not measured: an optimized crystal structure of HfBe3S at the PBEsol level of DFT. Values from VASP.

Results
Formation energy without anion corrections   0.60 eV/atom
E_tot   -4.781 eV per atom
Magnetization   0.000 μB/atom
Space-group type   Pm-3m

Structure (Quantum ESPRESSO input):
```
&SYSTEM
  ibrav = 0, nat = 5, ntyp = 3
/
ATOMIC_SPECIES
Hf 178.49 Hf.upf
Be 9.01 Be.upf
S 32.06 S.upf
CELL_PARAMETERS angstrom
4.0658 0.0000 0.0000
0.0000 4.0658 0.0000
0.0000 0.0000 4.0658
ATOMIC_POSITIONS angstrom
Hf 0.0000 0.0000 0.0000
Be 0.0000 2.0329 2.0329
Be 2.0329 0.0000 2.0329
Be 2.0329 2.0329 0.0000
S 2.0329 2.0329 2.0329
```

***

# 6
Computed, not measured: an optimized crystal structure of PbAu2 at the PBEsol level of DFT. Values from VASP.

Results
E_tot   -3.940 eV per atom
Magnetization   0.000 μB/atom
Space-group type   I4/mcm

Structure (Quantum ESPRESSO input):
```
&SYSTEM
  ibrav = 0, nat = 6, ntyp = 2
/
ATOMIC_SPECIES
Pb 207.20 Pb.upf
Au 196.97 Au.upf
CELL_PARAMETERS angstrom
-2.7169 2.7169 4.5193
2.7169 -2.7169 4.5193
2.7169 2.7169 -4.5193
ATOMIC_POSITIONS angstrom
Pb 0.0000 0.0000 2.2597
Pb 0.0000 0.0000 6.7790
Au 3.6741 0.9571 0.0000
Au 0.9571 1.7598 0.0000
Au 1.7598 0.9571 4.5193
Au -0.9571 1.7598 4.5193
```

***

# 7
Computed, not measured: an optimized crystal structure of Y2Ni2O7 at the PBEsol level of DFT. Values from VASP.

Results
Formation energy without anion corrections   -2.07 eV/atom
E_tot   -7.770 eV per atom
Magnetization   0.000 μB/atom
Space-group type   Fd-3m

Structure (Quantum ESPRESSO input):
```
&SYSTEM
  ibrav = 0, nat = 22, ntyp = 3
/
ATOMIC_SPECIES
Y 88.91 Y.upf
Ni 58.69 Ni.upf
O 16.00 O.upf
CELL_PARAMETERS angstrom
0.0000 4.8855 4.8855
4.8855 0.0000 4.8855
4.8855 4.8855 0.0000
ATOMIC_POSITIONS angstrom
Y 0.0000 0.0000 0.0000
Y 2.4428 2.4428 0.0000
Y 2.4428 0.0000 2.4428
Y 0.0000 2.4428 2.4428
Ni 4.8855 2.4428 2.4428
Ni 2.4428 4.8855 2.4428
Ni 2.4428 2.4428 4.8855
Ni 4.8855 4.8855 4.8855
O 1.2214 1.2214 1.2214
O 3.6641 3.6641 1.6647
O 3.6641 1.6647 3.6641
O 5.6636 3.6641 3.6641
O 6.1069 6.1069 4.1074
O 6.1069 4.1074 6.1069
O 8.1064 6.1069 6.1069
O 1.6647 3.6641 3.6641
O 3.6641 5.6636 3.6641
O 3.6641 3.6641 5.6636
O 4.1074 6.1069 6.1069
O 6.1069 8.1064 6.1069
O 6.1069 6.1069 8.1064
O 8.5497 8.5497 8.5497
```

***

# 8
Computed, not measured: an optimized crystal structure of Ge3SI at the PBEsol level of DFT. Values from VASP.

Results
Formation energy without anion corrections   1.41 eV/atom
E_tot   -2.780 eV per atom
Energy above the lowest structure with this stoichiometry   0.890 eV/atom
Magnetization   0.002 μB/atom
Space-group type   Pm-3m

Structure (Quantum ESPRESSO input):
```
&SYSTEM
  ibrav = 0, nat = 5, ntyp = 3
/
ATOMIC_SPECIES
Ge 72.64 Ge.upf
S 32.06 S.upf
I 126.90 I.upf
CELL_PARAMETERS angstrom
5.3635 0.0000 0.0000
0.0000 5.3635 0.0000
0.0000 0.0000 5.3635
ATOMIC_POSITIONS angstrom
Ge 0.0000 0.0000 2.6818
Ge 0.0000 2.6818 0.0000
Ge 2.6818 0.0000 0.0000
S 2.6818 2.6818 2.6818
I 0.0000 0.0000 0.0000
```